Entry 1:
## NdSCl (PBE-GGA)

Data for an optimized crystal structure of NdSCl.

POSCAR file:
```
NdSCl
1.0
0.0000 6.7868 4.3721
5.5727 0.0000 4.3721
5.5727 6.7868 0.0000
Nd S Cl
4 4 4
Direct
0.1730 0.8270 0.2854 Nd
0.5354 0.9646 0.4230 Nd
0.8270 0.1730 0.7146 Nd
0.9646 0.5354 0.0770 Nd
0.1226 0.8201 0.6350 S
0.6150 0.8277 0.1274 S
0.8201 0.1226 0.4223 S
0.8277 0.6150 0.4299 S
0.2431 0.3464 0.4819 Cl
0.3213 0.7681 0.9036 Cl
0.3464 0.2431 0.9287 Cl
0.7681 0.3213 0.0069 Cl
```

Computed properties:
Crystal system: orthorhombic
ΔE_f (raw), eV/atom: -2.1735

Entry 2:
## BaRhAu (PBE-GGA)

Data for an optimized crystal structure of BaRhAu.

POSCAR file:
```
BaRhAu
1.0
3.7409 0.0000 0.0000
0.0000 3.7581 0.0000
0.0000 0.0000 10.8099
Ba Rh Au
2 2 2
Direct
0.0000 0.0000 0.0000 Ba
0.5000 0.5000 0.5000 Ba
0.0000 0.0000 0.2800 Rh
0.5000 0.5000 0.7800 Rh
0.0000 0.0000 0.7123 Au
0.5000 0.5000 0.2123 Au
```

Computed properties:
Crystal system: orthorhombic
ΔH_f (0 K), kJ per mole of atoms: -10.4

| no. | VASP energy (eV per atom) |
| --- | --- |
| 1 | -5.754 |
| 2 | -4.292 |